[1]
A relaxed Nd6ZnRu2Cl3 crystal, computed with PBE.

Values from the calculation:
Uncorrected formation energy   -884 meV/atom
Total energy   -5.382 eV per atom
Density   6.15 g/cm³
Total magnetization   0.000 Bohr magnetons per cell

abc: 7.113 12.354 7.970
angles: 90.00 107.18 90.00
Space group C2/m (No. 12)
Asymmetric unit:
Nd 0.213 0.000 0.211 (multiplicity 4)
Nd 0.247 0.322 0.210 (multiplicity 8)
Zn 0.000 0.500 0.000 (multiplicity 2)
Ru 0.000 0.166 0.000 (multiplicity 4)
Cl 0.000 0.000 0.500 (multiplicity 2)
Cl 0.000 0.328 0.500 (multiplicity 4)



[2]
A relaxed Nd3S2Cl2 crystal, computed with PBE.

Values from the calculation:
Uncorrected formation energy   -1964 meV/atom
Total energy   -5.714 eV per atom
Density   4.94 g/cm³
Total magnetization   0.000 Bohr magnetons per cell

abc: 13.400 4.001 7.278
angles: 90.00 102.16 90.00
Space group C2/m (No. 12)
Asymmetric unit:
Nd 0.000 0.000 0.000 (multiplicity 2)
Nd 0.243 0.000 0.785 (multiplicity 4)
S 0.114 0.500 0.861 (multiplicity 4)
Cl 0.137 0.000 0.374 (multiplicity 4)



[3]
A relaxed Nd4SCl5 crystal, computed with PBE.

Values from the calculation:
Uncorrected formation energy   -1937 meV/atom
Total energy   -5.180 eV per atom
Density   4.60 g/cm³
Total magnetization   0.000 Bohr magnetons per cell

abc: 17.867 3.984 8.242
angles: 90.00 104.56 90.00
Space group C2/m (No. 12)
Asymmetric unit:
Nd 0.001 0.000 0.274 (multiplicity 4)
Nd 0.154 0.500 0.585 (multiplicity 4)
S 0.000 0.500 0.500 (multiplicity 2)
Cl 0.000 0.500 0.000 (multiplicity 2)
Cl 0.164 0.000 0.838 (multiplicity 4)
Cl 0.173 0.000 0.338 (multiplicity 4)



[4]
A relaxed Nd6S8Cl crystal, computed with PBE.

Values from the calculation:
Uncorrected formation energy   -1976 meV/atom
Total energy   -6.208 eV per atom
Density   5.19 g/cm³
Total magnetization   0.000 Bohr magnetons per cell

abc: 8.4962 8.4962 17.7861
angles: 90.00 90.00 120.00
Space group R-3 (No. 148, hexagonal axes)
Asymmetric unit:
Nd 0.0040 0.3500 0.4235 (multiplicity 18)
S 0.0000 0.0000 0.1682 (multiplicity 6)
S 0.0041 0.3237 0.5987 (multiplicity 18)
Cl 0.0000 0.0000 0.5000 (multiplicity 3)



[5]
A relaxed Nd2S3Cl crystal, computed with PBE.

Values from the calculation:
Uncorrected formation energy   -1611 meV/atom
Total energy   -5.572 eV per atom
Density   4.52 g/cm³
Total magnetization   0.002 Bohr magnetons per cell

abc: 7.5015 7.5015 19.0196
angles: 90.00 90.00 120.00
Space group R-3c (No. 167, hexagonal axes)
Asymmetric unit:
Nd 0.0000 0.0000 0.1445 (multiplicity 12)
S 0.0000 0.2763 0.2500 (multiplicity 18)
Cl 0.0000 0.0000 0.0000 (multiplicity 6)



[6]
A relaxed Nd2S2Cl crystal, computed with PBE.

Values from the calculation:
Uncorrected formation energy   -2049 meV/atom
Offset from the most stable computed form   0.00 eV per formula unit
Total energy   -5.976 eV per atom
Density   4.46 g/cm³
Total magnetization   0.000 Bohr magnetons per cell

abc: 13.009 5.656 8.368
angles: 90.00 110.32 90.00
Space group C2/m (No. 12)
Asymmetric unit:
Nd 0.013 0.000 0.247 (multiplicity 4)
Nd 0.165 0.500 0.072 (multiplicity 4)
S 0.010 0.500 0.241 (multiplicity 4)
S 0.164 0.000 0.075 (multiplicity 4)
Cl 0.154 0.000 0.598 (multiplicity 4)



[7]
A relaxed Nd7S6Cl9 crystal, computed with PBE.

Values from the calculation:
Uncorrected formation energy   -2173 meV/atom
Total energy   -5.571 eV per atom
Density   4.38 g/cm³
Total magnetization   0.000 Bohr magnetons per cell

abc: 24.611 6.747 7.015
angles: 90.00 97.83 90.00
Space group P2/c (No. 13)
Asymmetric unit:
Nd 0.000 0.210 0.250 (multiplicity 2)
Nd 0.143 0.198 0.873 (multiplicity 4)
Nd 0.283 0.195 0.363 (multiplicity 4)
Nd 0.421 0.217 0.008 (multiplicity 4)
S 0.072 0.031 0.573 (multiplicity 4)
S 0.216 0.050 0.615 (multiplicity 4)
S 0.359 0.052 0.689 (multiplicity 4)
Cl 0.060 0.461 0.936 (multiplicity 4)
Cl 0.190 0.435 0.228 (multiplicity 4)
Cl 0.320 0.419 0.035 (multiplicity 4)
Cl 0.442 0.395 0.378 (multiplicity 4)
Cl 0.500 0.051 0.750 (multiplicity 2)



[8]
A relaxed Nd3S2Cl5 crystal, computed with PBE.

Values from the calculation:
Uncorrected formation energy   -2216 meV/atom
Total energy   -5.395 eV per atom
Density   4.34 g/cm³
Total magnetization   0.000 Bohr magnetons per cell

abc: 22.163 6.646 7.076
angles: 90.00 97.80 90.00
Space group P2_1/c (No. 14)
Asymmetric unit:
Nd 0.096 0.046 0.204 (multiplicity 4)
Nd 0.249 0.045 0.855 (multiplicity 4)
Nd 0.401 0.044 0.336 (multiplicity 4)
S 0.168 0.192 0.532 (multiplicity 4)
S 0.326 0.192 0.596 (multiplicity 4)
Cl 0.013 0.224 0.893 (multiplicity 4)
Cl 0.127 0.673 0.383 (multiplicity 4)
Cl 0.256 0.641 0.722 (multiplicity 4)
Cl 0.382 0.655 0.479 (multiplicity 4)
Cl 0.481 0.178 0.658 (multiplicity 4)



[9]
A relaxed Nd4S5Cl crystal, computed with PBE.

Values from the calculation:
Uncorrected formation energy   -1862 meV/atom
Total energy   -6.018 eV per atom
Density   4.39 g/cm³
Total magnetization   2.010 Bohr magnetons per cell

abc: 8.830 9.584 6.913
angles: 90.00 90.00 90.00
Space group Pmmn (No. 59, origin choice 2)
Asymmetric unit:
Nd 0.023 0.250 0.033 (multiplicity 4)
Nd 0.250 0.016 0.520 (multiplicity 4)
S 0.012 0.545 0.246 (multiplicity 8)
S 0.250 0.250 0.302 (multiplicity 2)
Cl 0.250 0.750 0.729 (multiplicity 2)



[10]
A relaxed Nd2S2Cl crystal, computed with PBE.

Values from the calculation:
Uncorrected formation energy   -1893 meV/atom
Offset from the most stable computed form   0.78 eV per formula unit
Total energy   -5.821 eV per atom
Density   5.08 g/cm³
Total magnetization   0.000 Bohr magnetons per cell

abc: 15.446 4.667 7.034
angles: 90.00 90.03 90.00
Space group C2/c (No. 15)
Asymmetric unit:
Nd 0.157 0.000 0.499 (multiplicity 8)
S 0.180 0.500 0.248 (multiplicity 8)
Cl 0.000 0.001 0.250 (multiplicity 4)



[11]
A relaxed Nd3SCl7 crystal, computed with PBE.

Values from the calculation:
Uncorrected formation energy   -2190 meV/atom
Total energy   -5.041 eV per atom
Density   2.88 g/cm³
Total magnetization   0.061 Bohr magnetons per cell

abc: 8.4282 8.4282 6.6930
angles: 90.00 90.00 120.00
Space group P3m1 (No. 156)
Asymmetric unit:
Nd 0.0119 0.5059 0.0000 (multiplicity 3)
S 0.3333 0.6667 0.2101 (multiplicity 1)
Cl 0.1771 0.3543 0.7739 (multiplicity 3)
Cl 0.3587 0.1794 0.2065 (multiplicity 3)
Cl 0.6667 0.3333 0.7715 (multiplicity 1)



[12]
A relaxed Nd3SCl3 crystal, computed with PBE.

Values from the calculation:
Uncorrected formation energy   -1889 meV/atom
Total energy   -5.314 eV per atom
Density   4.40 g/cm³
Total magnetization   0.000 Bohr magnetons per cell

abc: 6.9901 6.9901 30.5869
angles: 90.00 90.00 120.00
Space group R-3 (No. 148, hexagonal axes)
Asymmetric unit:
Nd 0.0000 0.3440 0.4487 (multiplicity 18)
S 0.0000 0.0000 0.1667 (multiplicity 6)
Cl 0.0001 0.3253 0.6066 (multiplicity 18)



[13]
A relaxed Nd2SCl3 crystal, computed with PBE.

Values from the calculation:
Uncorrected formation energy   -2065 meV/atom
Total energy   -5.266 eV per atom
Density   3.90 g/cm³
Total magnetization   0.000 Bohr magnetons per cell

abc: 16.077 4.355 12.131
angles: 90.00 121.14 90.00
Space group C2/m (No. 12)
Asymmetric unit:
Nd 0.103 0.000 0.447 (multiplicity 4)
Nd 0.128 0.500 0.826 (multiplicity 4)
S 0.108 0.000 0.682 (multiplicity 4)
Cl 0.067 0.500 0.263 (multiplicity 4)
Cl 0.164 0.000 0.015 (multiplicity 4)
Cl 0.231 0.500 0.596 (multiplicity 4)



[14]
A relaxed NdS6Cl2 crystal, computed with PBE.

Values from the calculation:
Uncorrected formation energy   -642 meV/atom
Total energy   -4.334 eV per atom
Density   2.39 g/cm³
Total magnetization   0.685 Bohr magnetons per cell

abc: 4.255 7.776 9.214
angles: 111.58 92.81 90.68
Space group P-1 (No. 2)
Asymmetric unit:
Nd 0.000 0.000 0.000 (multiplicity 1)
S 0.100 0.274 0.311 (multiplicity 2)
S 0.100 0.725 0.447 (multiplicity 2)
S 0.111 0.498 0.714 (multiplicity 2)
Cl 0.499 0.173 0.915 (multiplicity 2)



[15]
A relaxed Nd6Se3S2Cl crystal, computed with PBE.

Values from the calculation:
Uncorrected formation energy   -1824 meV/atom
Total energy   -5.921 eV per atom
Density   6.53 g/cm³
Total magnetization   0.000 Bohr magnetons per cell

abc: 7.229 12.434 7.199
angles: 90.00 109.11 90.00
Space group C2/m (No. 12)
Asymmetric unit:
Nd 0.222 0.000 0.231 (multiplicity 4)
Nd 0.242 0.177 0.760 (multiplicity 8)
Se 0.000 0.000 0.500 (multiplicity 2)
Se 0.000 0.342 0.500 (multiplicity 4)
S 0.000 0.169 0.000 (multiplicity 4)
Cl 0.000 0.500 0.000 (multiplicity 2)



[16]
A relaxed Nd6SiS2Cl3 crystal, computed with PBE.

Values from the calculation:
Uncorrected formation energy   -1549 meV/atom
Total energy   -5.534 eV per atom
Density   5.77 g/cm³
Total magnetization   0.000 Bohr magnetons per cell

abc: 18.281 4.200 8.276
angles: 90.00 105.35 90.00
Space group C2/m (No. 12)
Asymmetric unit:
Nd 0.010 0.000 0.238 (multiplicity 4)
Nd 0.161 0.500 0.105 (multiplicity 4)
Nd 0.174 0.500 0.558 (multiplicity 4)
Si 0.000 0.500 0.000 (multiplicity 2)
S 0.169 0.000 0.333 (multiplicity 4)
Cl 0.000 0.500 0.500 (multiplicity 2)
Cl 0.163 0.000 0.828 (multiplicity 4)



[17]
A relaxed Nd6Si2S3Cl crystal, computed with PBE.

Values from the calculation:
Uncorrected formation energy   -1530 meV/atom
Total energy   -6.003 eV per atom
Density   5.70 g/cm³
Total magnetization   0.000 Bohr magnetons per cell

abc: 18.106 4.145 8.382
angles: 90.00 102.60 90.00
Space group C2/m (No. 12)
Asymmetric unit:
Nd 0.003 0.000 0.274 (multiplicity 4)
Nd 0.167 0.500 0.584 (multiplicity 4)
Nd 0.174 0.500 0.093 (multiplicity 4)
Si 0.165 0.000 0.331 (multiplicity 4)
S 0.000 0.500 0.500 (multiplicity 2)
S 0.163 0.000 0.838 (multiplicity 4)
Cl 0.000 0.500 0.000 (multiplicity 2)



[18]
A relaxed Nd8Si3SCl4 crystal, computed with PBE.

Values from the calculation:
Uncorrected formation energy   -1335 meV/atom
Total energy   -5.455 eV per atom
Density   5.51 g/cm³
Total magnetization   0.000 Bohr magnetons per cell

abc: 8.3687 8.3687 21.0629
angles: 90.00 90.00 120.00
Space group R-3m (No. 166, hexagonal axes)
Asymmetric unit:
Nd 0.0000 0.0000 0.2414 (multiplicity 6)
Nd 0.0010 0.5005 0.2395 (multiplicity 18)
Si 0.0000 0.5000 0.5000 (multiplicity 9)
S 0.0000 0.0000 0.5000 (multiplicity 3)
Cl 0.0000 0.0000 0.0000 (multiplicity 3)
Cl 0.0000 0.5000 0.0000 (multiplicity 9)